Entry 1:
This record from Alexandria describes an optimized crystal structure of CaSc2AlRu. The functional is PBE-GGA.

```
data_CaSc2AlRu
_symmetry_space_group_name_H-M 'P 4/m m m'
_symmetry_Int_Tables_number 123
_symmetry_space_group_name_Hall '-P 4 2'
_cell_length_a 4.982
_cell_length_b 4.982
_cell_length_c 4.946
_cell_angle_alpha 90.00
_cell_angle_beta 90.00
_cell_angle_gamma 90.00
loop_
_atom_site_label
_atom_site_type_symbol
_atom_site_fract_x
_atom_site_fract_y
_atom_site_fract_z
_atom_site_occupancy
Ca1 Ca 0.000 0.000 0.000 1
Sc1 Sc 0.000 0.500 0.500 1
Al1 Al 0.500 0.500 0.000 1
Ru1 Ru 0.500 0.500 0.500 1
```

Density of states at the Fermi level ... 3.9 states/eV/cell
ρ ... 3.491 g/cm³
Formation energy ... -231 meV per atom
E ... -28.837 eV/f.u.

Entry 2:
This record from Alexandria describes an optimized crystal structure of CaAlSiRu2. The functional is PBE-GGA.

```
data_CaAlSiRu2
_symmetry_space_group_name_H-M 'P 4/m m m'
_symmetry_Int_Tables_number 123
_symmetry_space_group_name_Hall '-P 4 2'
_cell_length_a 4.669
_cell_length_b 4.669
_cell_length_c 4.913
_cell_angle_alpha 90.00
_cell_angle_beta 90.00
_cell_angle_gamma 90.00
loop_
_atom_site_label
_atom_site_type_symbol
_atom_site_fract_x
_atom_site_fract_y
_atom_site_fract_z
_atom_site_occupancy
Ca1 Ca 0.000 0.000 0.000 1
Al1 Al 0.500 0.500 0.500 1
Si1 Si 0.000 0.000 0.500 1
Ru1 Ru 0.000 0.500 0.000 1
```

Density of states at the Fermi level ... 4.8 states/eV/cell
ρ ... 4.610 g/cm³
Uncorrected formation energy ... 936 kJ/mol of formula units
E ... -20.015 eV/f.u.